# YTh2PaP4 (PBE-GGA, optimized geometry)
data_YTh2PaP4
_chemical_formula_sum 'Y1 Th2 Pa1 P4'
_cell_length_a 7.031
_cell_length_b 4.069
_cell_length_c 7.043
_cell_angle_alpha 90.00
_cell_angle_beta 109.49
_cell_angle_gamma 90.00
_space_group_name_H-M_alt 'P 1 2/m 1'
_space_group_IT_number 10
loop_
_space_group_symop_operation_xyz
'x,y,z'
'-x,-y,-z'
'-x,y,-z'
'x,-y,z'
loop_
_atom_site_label
_atom_site_type_symbol
_atom_site_fract_x
_atom_site_fract_y
_atom_site_fract_z
_atom_site_occupancy
Y1 Y 0.000 0.000 0.000 1
Th1 Th 0.000 0.500 0.500 1
Th2 Th 0.500 0.000 0.500 1
Pa1 Pa 0.500 0.500 0.000 1
P1 P 0.250 0.500 0.239 1
P2 P 0.256 0.000 0.763 1
# **Calculated density**: 7.94 g cm⁻³
# **Total moment**: 0.00 Bohr magnetons per cell
# **Final energy**: -64.48 eV/f.u.
# **Energy of formation from the pure elements**: -145.3 kJ per mole of atoms

# Er6In2Co (PBE-GGA, optimized geometry)
data_Er6In2Co
_chemical_formula_sum 'Er12 In4 Co2'
_cell_length_a 5.046
_cell_length_b 7.156
_cell_length_c 14.532
_cell_angle_alpha 90.00
_cell_angle_beta 90.00
_cell_angle_gamma 90.00
_space_group_name_H-M_alt 'I m m m'
_space_group_IT_number 71
_space_group_name_Hall '-I 2 2'
loop_
_atom_site_label
_atom_site_type_symbol
_atom_site_fract_x
_atom_site_fract_y
_atom_site_fract_z
_atom_site_occupancy
Er1 Er 0.000 0.220 0.000 1
Er2 Er 0.000 0.263 0.349 1
In1 In 0.000 0.500 0.167 1
Co1 Co 0.000 0.500 0.500 1
# **Calculated density**: 8.18 g cm⁻³
# **Total moment**: 0.00 Bohr magnetons per cell
# **Final energy**: -40.74 eV/f.u.
# **Energy of formation from the pure elements**: -8.4 kJ per mole of atoms

# Nb3NiSe (PBE-GGA, optimized geometry)
data_Nb3NiSe
_chemical_formula_sum 'Nb3 Ni1 Se1'
_cell_length_a 4.710
_cell_length_b 4.710
_cell_length_c 4.710
_cell_angle_alpha 90.00
_cell_angle_beta 90.00
_cell_angle_gamma 90.00
_space_group_name_H-M_alt 'P m -3 m'
_space_group_IT_number 221
_space_group_name_Hall '-P 4 2 3'
loop_
_atom_site_label
_atom_site_type_symbol
_atom_site_fract_x
_atom_site_fract_y
_atom_site_fract_z
_atom_site_occupancy
Nb1 Nb 0.000 0.000 0.500 1
Ni1 Ni 0.500 0.500 0.500 1
Se1 Se 0.000 0.000 0.000 1
# **Formation energy without anion corrections**: 0.96 eV per atom
# **Calculated density**: 6.62 g cm⁻³
# **Total moment**: 0.00 Bohr magnetons per cell
# **Final energy**: -34.67 eV/f.u.

# Pm3Y6Ho (PBE-GGA, optimized geometry)
data_Pm3Y6Ho
_chemical_formula_sum 'Pm9 Y18 Ho3'
_cell_length_a 9.9398
_cell_length_b 9.9398
_cell_length_c 11.6775
_cell_angle_alpha 90.00
_cell_angle_beta 90.00
_cell_angle_gamma 120.00
_space_group_name_H-M_alt 'R 3'
_space_group_IT_number 146
_space_group_name_Hall 'R 3'
loop_
_atom_site_label
_atom_site_type_symbol
_atom_site_fract_x
_atom_site_fract_y
_atom_site_fract_z
_atom_site_occupancy
Pm1 Pm 0.0000 0.0000 0.0000 1
Pm2 Pm 0.0000 0.0000 0.2490 1
Pm3 Pm 0.0000 0.0000 0.7497 1
Y1 Y 0.0024 0.3292 0.2487 1
Y2 Y 0.0067 0.6696 0.4148 1
Ho1 Ho 0.0000 0.0000 0.4998 1
# **Calculated density**: 5.65 g cm⁻³
# **Total moment**: 0.00 Bohr magnetons per cell
# **Final energy**: -55.08 eV/f.u.
# **Energy of formation from the pure elements**: 24.5 kJ per mole of atoms

# LiLu2Au (PBE-GGA, optimized geometry)
data_LiLu2Au
_chemical_formula_sum 'Li1 Lu2 Au1'
_cell_length_a 4.938
_cell_length_b 4.938
_cell_length_c 3.603
_cell_angle_alpha 90.00
_cell_angle_beta 90.00
_cell_angle_gamma 90.00
_space_group_name_H-M_alt 'P 4/m m m'
_space_group_IT_number 123
_space_group_name_Hall '-P 4 2'
loop_
_atom_site_label
_atom_site_type_symbol
_atom_site_fract_x
_atom_site_fract_y
_atom_site_fract_z
_atom_site_occupancy
Li1 Li 0.000 0.000 0.000 1
Lu1 Lu 0.000 0.500 0.500 1
Au1 Au 0.500 0.500 0.000 1
# **Calculated density**: 10.47 g cm⁻³
# **Total moment**: 0.00 Bohr magnetons per cell
# **Final energy**: -15.99 eV/f.u.
# **Energy of formation from the pure elements**: -42.3 kJ per mole of atoms

# RePt2Br (PBE-GGA, optimized geometry)
data_RePt2Br
_chemical_formula_sum 'Re2 Pt4 Br2'
_cell_length_a 4.114
_cell_length_b 4.114
_cell_length_c 7.881
_cell_angle_alpha 90.00
_cell_angle_beta 90.00
_cell_angle_gamma 90.00
_space_group_name_H-M_alt 'I 4/m m m'
_space_group_IT_number 139
_space_group_name_Hall '-I 4 2'
loop_
_atom_site_label
_atom_site_type_symbol
_atom_site_fract_x
_atom_site_fract_y
_atom_site_fract_z
_atom_site_occupancy
Re1 Re 0.000 0.000 0.000 1
Pt1 Pt 0.000 0.500 0.250 1
Br1 Br 0.000 0.000 0.500 1
# **Formation energy without anion corrections**: 1.01 eV per atom
# **Calculated density**: 16.34 g cm⁻³
# **Total moment**: 0.00 Bohr magnetons per cell
# **Final energy**: -22.17 eV/f.u.